Record 1
## InCoSi2 (PBE)

Data for a relaxed structure of InCoSi2.

a b c (Å): 5.8853 5.8853 5.8853
angles (deg): 153.56 135.00 52.95
Atoms (fractional coordinates):
Si1 0.9419 0.9419 0.0000
In1 0.2500 0.7500 0.5000
Co1 0.7500 0.2500 0.5000
Si2 0.5581 0.5581 0.0000

Values from the calculation:
* ΔE_f (raw): 0.173 eV/atom
* ρ: 6.0 Mg/m³
* volume: 15.97 A^3/atom

---

Record 2
## InCo2Si (PBE)

Data for a relaxed structure of InCo2Si.

a b c (Å): 2.8025 2.8031 7.1723
angles (deg): 66.77 90.00 90.00
Atoms (fractional coordinates):
Co1 0.0000 0.4519 0.5503
Si1 0.5000 0.7500 0.7500
Co2 0.0000 0.0481 0.9497
In1 0.5000 0.2500 0.2500

Values from the calculation:
* ΔE_f (raw): -0.223 eV/atom
* ρ: 8.4 Mg/m³
* volume: 12.94 A^3/atom

---

Record 3
## InCo2Si (PBE)

Data for a relaxed structure of InCo2Si.

a b c (Å): 4.8542 4.8542 4.8542
angles (deg): 136.41 136.41 63.34
Atoms (fractional coordinates):
Co1 0.2500 0.7500 0.5000
In1 0.5000 0.5000 0.0000
Si1 0.7500 0.2500 0.5000
Co2 0.0000 0.0000 0.0000

Values from the calculation:
* ΔE_f (raw): 0.148 eV/atom
* ρ: 8.1 Mg/m³
* volume: 13.42 A^3/atom

---

Record 4
## In2CoSi (PBE)

Data for a relaxed structure of In2CoSi.

a b c (Å): 6.4855 6.4855 6.4855
angles (deg): 154.54 139.96 48.05
Atoms (fractional coordinates):
Si1 0.4237 0.4237 0.0000
In1 0.7515 0.2515 0.5000
In2 0.0563 0.0563 0.0000
Co1 0.2685 0.7685 0.5000

Values from the calculation:
* ΔE_f (raw): 0.116 eV/atom
* ρ: 7.0 Mg/m³
* volume: 18.80 A^3/atom